Entry 1:
# NaPdBr6, optimized geometry, DFT PBE
data_NaPdBr6
_chemical_formula_sum 'Na2 Pd2 Br12'
_cell_length_a 10.751
_cell_length_b 10.123
_cell_length_c 7.579
_cell_angle_alpha 90.00
_cell_angle_beta 132.45
_cell_angle_gamma 90.00
_space_group_name_H-M_alt 'C 1 2/m 1'
_space_group_IT_number 12
loop_
_space_group_symop_operation_xyz
'x,y,z'
'-x,-y,-z'
'-x,y,-z'
'x,-y,z'
'x+1/2,y+1/2,z'
'-x+1/2,-y+1/2,-z'
'-x+1/2,y+1/2,-z'
'x+1/2,-y+1/2,z'
loop_
_atom_site_label
_atom_site_type_symbol
_atom_site_fract_x
_atom_site_fract_y
_atom_site_fract_z
Na1 Na 0.000 0.000 0.000
Pd1 Pd 0.000 0.000 0.500
Br1 Br 0.114 0.183 0.815
Br2 Br 0.244 0.000 0.528
# Calculated total energy ... -2.51 eV/atom
# E_form (uncorrected) ... -10.19 kcal/mol of atoms



Entry 2:
# NaPdBr2, optimized geometry, DFT PBE
data_NaPdBr2
_chemical_formula_sum 'Na4 Pd4 Br8'
_cell_length_a 7.115
_cell_length_b 7.115
_cell_length_c 7.115
_cell_angle_alpha 90.00
_cell_angle_beta 90.00
_cell_angle_gamma 90.00
_space_group_name_H-M_alt 'F m -3 m'
_space_group_IT_number 225
_space_group_name_Hall '-F 4 2 3'
loop_
_atom_site_label
_atom_site_type_symbol
_atom_site_fract_x
_atom_site_fract_y
_atom_site_fract_z
Na1 Na 0.000 0.000 0.000
Pd1 Pd 0.000 0.000 0.500
Br1 Br 0.250 0.250 0.250
# E above lowest polymorph ... 183 meV per atom
# Calculated total energy ... -2.90 eV/atom
# E_form (uncorrected) ... -10.13 kcal/mol of atoms



Entry 3:
# NaPdBr, optimized geometry, DFT PBE
data_NaPdBr
_chemical_formula_sum 'Na2 Pd2 Br2'
_cell_length_a 4.4684
_cell_length_b 4.4684
_cell_length_c 8.0270
_cell_angle_alpha 90.00
_cell_angle_beta 90.00
_cell_angle_gamma 120.00
_space_group_name_H-M_alt 'P 63/m m c'
_space_group_IT_number 194
_space_group_name_Hall '-P 6c 2c'
loop_
_atom_site_label
_atom_site_type_symbol
_atom_site_fract_x
_atom_site_fract_y
_atom_site_fract_z
Na1 Na 0.0000 0.0000 0.0000
Pd1 Pd 0.3333 0.6667 0.2500
Br1 Br 0.3333 0.6667 0.7500
# E above lowest polymorph ... 163 meV per atom
# Calculated total energy ... -3.18 eV/atom
# E_form (uncorrected) ... -10.34 kcal/mol of atoms



Entry 4:
# Na4PdBr6, optimized geometry, DFT PBE
data_Na4PdBr6
_chemical_formula_sum 'Na8 Pd2 Br12'
_cell_length_a 8.595
_cell_length_b 8.595
_cell_length_c 8.613
_cell_angle_alpha 90.00
_cell_angle_beta 90.00
_cell_angle_gamma 90.00
_space_group_name_H-M_alt 'P 4/m n c'
_space_group_IT_number 128
_space_group_name_Hall '-P 4 2n'
loop_
_atom_site_label
_atom_site_type_symbol
_atom_site_fract_x
_atom_site_fract_y
_atom_site_fract_z
Na1 Na 0.247 0.253 0.250
Pd1 Pd 0.000 0.000 0.000
Br1 Br 0.000 0.000 0.311
Br2 Br 0.003 0.689 0.000
# Calculated total energy ... -2.99 eV/atom
# E_form (uncorrected) ... -25.92 kcal/mol of atoms



- What is the calculated total energy in the third record?
  -3.18 eV/atom



- Which value of E_form (uncorrected) does entry 4 give?
  -25.92 kcal/mol of atoms